VASP calculation (PBE) on an optimized crystal structure of PmHoIrRu.

a b c (Å): 3.454 3.454 6.880
angles (deg): 90.00 90.00 90.00
Element x y z (fractional)
Pm 0.500 0.500 0.111
Ho 0.500 0.500 0.604
Ir 0.000 0.000 0.847
Ru 0.000 0.000 0.365

Summary:
The final energy is -0.27018 Ha/atom. As for the symmetry: P4mm, No. 99. The calculation puts the density of states at the Fermi level at 1.52 states/eV per cell. The value obtained for the offset from the most stable computed form is 8 meV/atom. The formation energy from the elements comes out at -0.486 eV per atom.


VASP calculation (PBE) on an optimized crystal structure of SmSn5Se7.

a b c (Å): 4.150 7.346 24.788
angles (deg): 89.99 90.00 106.41
Element x y z (fractional)
Sm 0.794 0.589 0.261
Sm 0.206 0.413 0.761
Sn 0.011 0.021 0.003
Sn 0.743 0.486 0.923
Sn 0.284 0.567 0.077
Sn 0.525 0.050 0.349
Sn 0.445 0.889 0.650
Sn 0.990 0.980 0.503
Sn 0.258 0.515 0.423
Sn 0.717 0.433 0.577
Sn 0.476 0.952 0.849
Sn 0.556 0.112 0.150
Se 0.440 0.879 0.247
Se 0.561 0.122 0.747
Se 0.648 0.297 0.039
Se 0.375 0.750 0.963
Se 0.352 0.705 0.539
Se 0.626 0.251 0.463
Se 0.206 0.411 0.183
Se 0.826 0.652 0.820
Se 0.795 0.590 0.683
Se 0.175 0.349 0.320
Se 0.926 0.851 0.107
Se 0.116 0.231 0.876
Se 0.075 0.150 0.607
Se 0.885 0.770 0.376

Summary:
The final energy is -0.16410 Ha/atom. As for the symmetry: Cmc2_1, No. 36. The calculation puts the density of states at the Fermi level at 11.43 states/eV per cell.


VASP calculation (PBE) on an optimized crystal structure of LiZnRh2C.

a b c (Å): 3.979 3.979 4.024
angles (deg): 90.00 90.00 90.00
Element x y z (fractional)
Zn 0.500 0.500 0.500
Rh 0.000 0.500 0.000
Rh 0.500 0.000 0.000
C 0.000 0.000 0.000
Li 0.000 0.000 0.500

Summary:
The final energy is -0.20548 Ha/atom. As for the symmetry: P4/mmm, No. 123. The calculation puts the density of states at the Fermi level at 1.22 states/eV per cell. The formation energy from the elements comes out at -0.168 eV per atom.


VASP calculation (PBE) on an optimized crystal structure of RbAlOs2Pd.

a b c (Å): 4.554 5.541 4.554
angles (deg): 90.00 90.00 90.00
Element x y z (fractional)
Os 0.000 0.000 0.500
Os 0.500 0.000 0.000
Rb 0.000 0.500 0.000
Pd 0.500 0.500 0.500
Al 0.000 0.000 0.000

Summary:
The final energy is -0.16975 Ha/atom. As for the symmetry: P4/mmm, No. 123. The calculation puts the density of states at the Fermi level at 9.46 states/eV per cell. The formation energy from the elements comes out at 1.853 eV per atom.


Which formula does entry 2 have?
SmSn5Se7